## SiAs2P (GGA-PBE)

Data for a geometry-optimized SiAs2P structure.

Relative energy among the computed polymorphs ... 0.4536 eV per atom
Formation energy without anion corrections ... 0.561 eV per atom
Calculated volume ... 16.948 A^3/atom
Total magnetization ... 0.000 μB/cell

Cell lengths 5.372, 5.372, 2.733 Å; angles 100.41, 100.41, 114.30 degrees
Element x y z (fractional)
Si 0.000 0.000 0.000
As 0.000 0.500 0.500
As 0.500 0.000 0.500
P 0.500 0.500 0.000